Ba2RuIN: optimized geometry, PBE-GGA.

Unit cell a=5.9854 b=5.9854 c=3.8676 alpha=90.00 beta=90.00 gamma=90.00
Fractional positions:
Ba (0.0000, 0.5000, 0.0000)
Ba (0.5000, 0.0000, 0.0000)
Ru (0.0000, 0.0000, 0.5000)
I (0.5000, 0.5000, 0.5000)
N (0.0000, 0.0000, 0.0000)

Output
ΔE_f (raw), meV/atom: -684
DFT total energy, eV per atom: -5.28

=====

Tb2TmGe2Rh5: optimized geometry, PBE-GGA.

Unit cell a=9.9595 b=9.9595 c=3.6526 alpha=90.00 beta=90.00 gamma=90.00
Fractional positions:
Tb (0.1735, 0.3265, 0.0000)
Tb (0.3265, 0.8265, 0.0000)
Tb (0.6735, 0.1735, 0.0000)
Tb (0.8265, 0.6735, 0.0000)
Tm (0.0000, 0.0000, 0.0000)
Tm (0.5000, 0.5000, 0.0000)
Ge (0.1234, 0.6234, 0.0000)
Ge (0.3766, 0.1234, 0.0000)
Ge (0.6234, 0.8766, 0.0000)
Ge (0.8766, 0.3766, 0.0000)
Rh (0.0000, 0.5000, 0.5000)
Rh (0.0694, 0.7845, 0.5000)
Rh (0.2155, 0.0694, 0.5000)
Rh (0.2845, 0.5694, 0.5000)
Rh (0.4306, 0.2845, 0.5000)
Rh (0.5000, 0.0000, 0.5000)
Rh (0.5694, 0.7155, 0.5000)
Rh (0.7155, 0.4306, 0.5000)
Rh (0.7845, 0.9306, 0.5000)
Rh (0.9306, 0.2155, 0.5000)

Output
Formation enthalpy at 0 K, eV per atom: -0.87
DFT total energy, eV per atom: -6.85

=====

Rb2Na2H: optimized geometry, PBE-GGA.

Unit cell a=4.3313 b=4.3313 c=22.5866 alpha=90.00 beta=90.00 gamma=90.00
Fractional positions:
Rb (0.0000, 0.0000, 0.0816)
Rb (0.0000, 0.0000, 0.9184)
Rb (0.5000, 0.5000, 0.4184)
Rb (0.5000, 0.5000, 0.5816)
Na (0.0000, 0.5000, 0.2500)
Na (0.0000, 0.5000, 0.7500)
Na (0.5000, 0.0000, 0.2500)
Na (0.5000, 0.0000, 0.7500)
H (0.0000, 0.0000, 0.5000)
H (0.5000, 0.5000, 0.0000)

Output
ΔE to the lowest computed polymorph, meV per atom: 0
DFT total energy, eV per atom: -1.47

=====

LiSbRh3: optimized geometry, PBE-GGA.

Unit cell a=4.2111 b=4.2111 c=4.2111 alpha=90.00 beta=90.00 gamma=90.00
Fractional positions:
Li (0.0000, 0.0000, 0.0000)
Sb (0.5000, 0.5000, 0.5000)
Rh (0.0000, 0.0000, 0.5000)
Rh (0.0000, 0.5000, 0.0000)
Rh (0.5000, 0.0000, 0.0000)

Output
ΔE_f (raw), meV/atom: 296
ΔE to the lowest computed polymorph, meV per atom: 0
DFT total energy, eV per atom: -5.32

=====

Sc2AgP: optimized geometry, PBE-GGA.

Unit cell a=3.8042 b=3.8042 c=19.8822 alpha=90.00 beta=90.00 gamma=120.00
Fractional positions:
Sc (0.0000, 0.0000, 0.2357)
Sc (0.0000, 0.0000, 0.7643)
Sc (0.3333, 0.6667, 0.4309)
Sc (0.3333, 0.6667, 0.9024)
Sc (0.6667, 0.3333, 0.0976)
Sc (0.6667, 0.3333, 0.5691)
Ag (0.0000, 0.0000, 0.0000)
Ag (0.3333, 0.6667, 0.6667)
Ag (0.6667, 0.3333, 0.3333)
P (0.0000, 0.0000, 0.5000)
P (0.3333, 0.6667, 0.1667)
P (0.6667, 0.3333, 0.8333)

Output
ΔE to the lowest computed polymorph, meV per atom: 0
Formation enthalpy at 0 K, eV per atom: -0.75
DFT total energy, eV per atom: -5.99

=====

La4Sb3Br: optimized geometry, PBE-GGA.

Unit cell a=6.4579 b=6.4579 c=12.9411 alpha=90.00 beta=90.00 gamma=90.00
Fractional positions:
La (0.0000, 0.0000, 0.2448)
La (0.0000, 0.0000, 0.7552)
La (0.0000, 0.5000, 0.0000)
La (0.0000, 0.5000, 0.5000)
La (0.5000, 0.0000, 0.0000)
La (0.5000, 0.0000, 0.5000)
La (0.5000, 0.5000, 0.2552)
La (0.5000, 0.5000, 0.7448)
Sb (0.0000, 0.0000, 0.0000)
Sb (0.0000, 0.5000, 0.2500)
Sb (0.0000, 0.5000, 0.7500)
Sb (0.5000, 0.0000, 0.2500)
Sb (0.5000, 0.0000, 0.7500)
Sb (0.5000, 0.5000, 0.5000)
Br (0.0000, 0.0000, 0.5000)
Br (0.5000, 0.5000, 0.0000)

Output
ΔE_f (raw), meV/atom: -1336
DFT total energy, eV per atom: -5.56

=====

La2W: optimized geometry, PBE-GGA.

Unit cell a=7.7019 b=7.7019 c=5.7972 alpha=90.00 beta=90.00 gamma=90.00
Fractional positions:
La (0.1772, 0.3228, 0.0000)
La (0.1772, 0.6772, 0.5000)
La (0.3228, 0.1772, 0.5000)
La (0.3228, 0.8228, 0.0000)
La (0.6772, 0.1772, 0.0000)
La (0.6772, 0.8228, 0.5000)
La (0.8228, 0.3228, 0.5000)
La (0.8228, 0.6772, 0.0000)
W (0.0000, 0.0000, 0.2500)
W (0.0000, 0.0000, 0.7500)
W (0.5000, 0.5000, 0.2500)
W (0.5000, 0.5000, 0.7500)

Output
ΔE to the lowest computed polymorph, meV per atom: 161
Formation enthalpy at 0 K, eV per atom: 0.49
DFT total energy, eV per atom: -7.11

=====

CeHo6Er3Tm2: optimized geometry, PBE-GGA.

Unit cell a=6.0847 b=6.0847 c=11.6558 alpha=94.99 beta=94.99 gamma=119.97
Fractional positions:
Ce (0.0000, 0.0000, 0.0000)
Ho (0.0837, 0.4152, 0.2500)
Ho (0.2480, 0.2480, 0.7498)
Ho (0.4152, 0.0837, 0.2500)
Ho (0.5848, 0.9163, 0.7500)
Ho (0.7520, 0.7520, 0.2502)
Ho (0.9163, 0.5848, 0.7500)
Er (0.1675, 0.8325, 0.5000)
Er (0.5000, 0.5000, 0.5000)
Er (0.8325, 0.1675, 0.5000)
Tm (0.3334, 0.6666, 0.0000)
Tm (0.6666, 0.3334, 0.0000)

Output
Formation enthalpy at 0 K, eV per atom: 0.04
DFT total energy, eV per atom: -4.63

=====

no.,volume (Å³ per cell)
1,139
2,362
3,424
4,75
5,249
6,540
7,344
8,368